Version one
A relaxed Er2HfGa crystal. Source: Alexandria via LeMat-Bulk, functional PBE-GGA.

The structure in CIF format:
```
data_Er2HfGa
_cell_length_a 11.339
_cell_length_b 11.339
_cell_length_c 11.339
_cell_angle_alpha 16.92
_cell_angle_beta 16.92
_cell_angle_gamma 16.92
_space_group_name_H-M_alt 'P 1'
_space_group_IT_number 1
loop_
_space_group_symop_operation_xyz
'x,y,z'
loop_
_atom_site_label
_atom_site_type_symbol
_atom_site_fract_x
_atom_site_fract_y
_atom_site_fract_z
Er1 Er 0.089 0.089 0.089
Er2 Er 0.911 0.911 0.911
Hf1 Hf 0.500 0.500 0.500
Ga1 Ga 0.000 0.000 0.000
```

Spin magnetization, μB per cell: 0.00

***

Version two
A relaxed Er2HfGa crystal. Source: Alexandria via LeMat-Bulk, functional PBE-GGA.

The structure in CIF format:
```
data_Er2HfGa
_cell_length_a 4.523
_cell_length_b 4.523
_cell_length_c 4.544
_cell_angle_alpha 90.00
_cell_angle_beta 90.00
_cell_angle_gamma 90.00
_space_group_name_H-M_alt 'P 1'
_space_group_IT_number 1
loop_
_space_group_symop_operation_xyz
'x,y,z'
loop_
_atom_site_label
_atom_site_type_symbol
_atom_site_fract_x
_atom_site_fract_y
_atom_site_fract_z
Er1 Er 0.000 0.500 0.000
Er2 Er 0.500 0.000 0.000
Hf1 Hf 0.000 0.000 0.500
Ga1 Ga 0.500 0.500 0.500
```

Spin magnetization, μB per cell: 0.00

***

Which structure wins on stability? version two wins.

***

Version one
A relaxed ErHf2Ga crystal. Source: Alexandria via LeMat-Bulk, functional PBE-GGA.

The structure in CIF format:
```
data_ErHf2Ga
_cell_length_a 11.114
_cell_length_b 11.114
_cell_length_c 11.114
_cell_angle_alpha 16.09
_cell_angle_beta 16.09
_cell_angle_gamma 16.09
_space_group_name_H-M_alt 'P 1'
_space_group_IT_number 1
loop_
_space_group_symop_operation_xyz
'x,y,z'
loop_
_atom_site_label
_atom_site_type_symbol
_atom_site_fract_x
_atom_site_fract_y
_atom_site_fract_z
Er1 Er 0.000 0.000 0.000
Hf1 Hf 0.096 0.096 0.096
Hf2 Hf 0.904 0.904 0.904
Ga1 Ga 0.500 0.500 0.500
```

Spin magnetization, μB per cell: 0.00

***

Version two
A relaxed ErHf2Ga crystal. Source: Alexandria via LeMat-Bulk, functional PBE-GGA.

The structure in CIF format:
```
data_ErHf2Ga
_cell_length_a 4.409
_cell_length_b 4.409
_cell_length_c 4.425
_cell_angle_alpha 90.00
_cell_angle_beta 90.00
_cell_angle_gamma 90.00
_space_group_name_H-M_alt 'P 1'
_space_group_IT_number 1
loop_
_space_group_symop_operation_xyz
'x,y,z'
loop_
_atom_site_label
_atom_site_type_symbol
_atom_site_fract_x
_atom_site_fract_y
_atom_site_fract_z
Er1 Er 0.000 0.000 0.000
Hf1 Hf 0.000 0.500 0.500
Hf2 Hf 0.500 0.000 0.500
Ga1 Ga 0.500 0.500 0.000
```

Spin magnetization, μB per cell: 0.00

***

Which structure wins on stability? version two wins.

***

Version one
A relaxed ErHf2Ga6 crystal. Source: Alexandria via LeMat-Bulk, functional PBE-GGA.

The structure in CIF format:
```
data_ErHf2Ga6
_cell_length_a 7.704
_cell_length_b 7.704
_cell_length_c 3.185
_cell_angle_alpha 90.00
_cell_angle_beta 90.00
_cell_angle_gamma 120.00
_space_group_name_H-M_alt 'P 1'
_space_group_IT_number 1
loop_
_space_group_symop_operation_xyz
'x,y,z'
loop_
_atom_site_label
_atom_site_type_symbol
_atom_site_fract_x
_atom_site_fract_y
_atom_site_fract_z
Er1 Er 0.000 0.000 0.000
Hf1 Hf 0.333 0.667 0.000
Hf2 Hf 0.667 0.333 0.000
Ga1 Ga 0.000 0.337 0.500
Ga2 Ga 0.000 0.663 0.500
Ga3 Ga 0.337 0.000 0.500
Ga4 Ga 0.337 0.337 0.500
Ga5 Ga 0.663 0.000 0.500
Ga6 Ga 0.663 0.663 0.500
```

Spin magnetization, μB per cell: 0.00

***

Version two
A relaxed ErHf2Ga6 crystal. Source: Alexandria via LeMat-Bulk, functional PBE-GGA.

The structure in CIF format:
```
data_ErHf2Ga6
_cell_length_a 7.565
_cell_length_b 7.565
_cell_length_c 7.565
_cell_angle_alpha 148.30
_cell_angle_beta 127.86
_cell_angle_gamma 62.32
_space_group_name_H-M_alt 'P 1'
_space_group_IT_number 1
loop_
_space_group_symop_operation_xyz
'x,y,z'
loop_
_atom_site_label
_atom_site_type_symbol
_atom_site_fract_x
_atom_site_fract_y
_atom_site_fract_z
Er1 Er 0.000 0.000 0.000
Hf1 Hf 0.381 0.881 0.500
Hf2 Hf 0.619 0.119 0.500
Ga1 Ga 0.014 0.309 0.704
Ga2 Ga 0.309 0.500 0.809
Ga3 Ga 0.395 0.691 0.704
Ga4 Ga 0.605 0.309 0.296
Ga5 Ga 0.691 0.500 0.191
Ga6 Ga 0.986 0.691 0.296
```

Spin magnetization, μB per cell: 0.00

***

Which structure wins on stability? version one wins.

***

Version one
A relaxed ErHfGa crystal. Source: Alexandria via LeMat-Bulk, functional PBE-GGA.

The structure in CIF format:
```
data_ErHfGa
_cell_length_a 4.815
_cell_length_b 4.815
_cell_length_c 3.456
_cell_angle_alpha 90.00
_cell_angle_beta 90.00
_cell_angle_gamma 120.00
_space_group_name_H-M_alt 'P 1'
_space_group_IT_number 1
loop_
_space_group_symop_operation_xyz
'x,y,z'
loop_
_atom_site_label
_atom_site_type_symbol
_atom_site_fract_x
_atom_site_fract_y
_atom_site_fract_z
Er1 Er 0.000 0.000 0.000
Hf1 Hf 0.667 0.333 0.500
Ga1 Ga 0.333 0.667 0.500
```

Spin magnetization, μB per cell: 0.00

***

Version two
A relaxed ErHfGa crystal. Source: Alexandria via LeMat-Bulk, functional PBE-GGA.

The structure in CIF format:
```
data_ErHfGa
_cell_length_a 6.581
_cell_length_b 6.581
_cell_length_c 6.581
_cell_angle_alpha 150.95
_cell_angle_beta 150.95
_cell_angle_gamma 41.55
_space_group_name_H-M_alt 'P 1'
_space_group_IT_number 1
loop_
_space_group_symop_operation_xyz
'x,y,z'
loop_
_atom_site_label
_atom_site_type_symbol
_atom_site_fract_x
_atom_site_fract_y
_atom_site_fract_z
Er1 Er 0.000 0.000 0.000
Hf1 Hf 0.311 0.311 0.000
Ga1 Ga 0.666 0.666 0.000
```

Spin magnetization, μB per cell: 0.00

***

Version three
A relaxed ErHfGa crystal. Source: Alexandria via LeMat-Bulk, functional PBE-GGA.

The structure in CIF format:
```
data_ErHfGa
_cell_length_a 4.221
_cell_length_b 4.221
_cell_length_c 7.785
_cell_angle_alpha 90.00
_cell_angle_beta 90.00
_cell_angle_gamma 90.00
_space_group_name_H-M_alt 'P 1'
_space_group_IT_number 1
loop_
_space_group_symop_operation_xyz
'x,y,z'
loop_
_atom_site_label
_atom_site_type_symbol
_atom_site_fract_x
_atom_site_fract_y
_atom_site_fract_z
Er1 Er 0.250 0.250 0.154
Er2 Er 0.750 0.750 0.846
Hf1 Hf 0.250 0.750 0.500
Hf2 Hf 0.750 0.250 0.500
Ga1 Ga 0.250 0.250 0.759
Ga2 Ga 0.750 0.750 0.241
```

Spin magnetization, μB per cell: 0.00

***

Which structure wins on stability? version three wins.

***

Version one
A relaxed Er5Ga2Hg crystal. Source: Alexandria via LeMat-Bulk, functional PBE-GGA.

The structure in CIF format:
```
data_Er5Ga2Hg
_cell_length_a 5.032
_cell_length_b 5.032
_cell_length_c 19.586
_cell_angle_alpha 90.00
_cell_angle_beta 90.00
_cell_angle_gamma 120.02
_space_group_name_H-M_alt 'P 1'
_space_group_IT_number 1
loop_
_space_group_symop_operation_xyz
'x,y,z'
loop_
_atom_site_label
_atom_site_type_symbol
_atom_site_fract_x
_atom_site_fract_y
_atom_site_fract_z
Er1 Er 0.000 0.000 0.154
Er2 Er 0.000 0.000 0.346
Er3 Er 0.000 0.000 0.654
Er4 Er 0.000 0.000 0.846
Er5 Er 0.333 0.667 0.750
Er6 Er 0.334 0.666 0.054
Er7 Er 0.334 0.666 0.446
Er8 Er 0.666 0.334 0.554
Er9 Er 0.666 0.334 0.946
Er10 Er 0.667 0.333 0.250
Ga1 Ga 0.333 0.667 0.596
Ga2 Ga 0.333 0.667 0.904
Ga3 Ga 0.667 0.333 0.096
Ga4 Ga 0.667 0.333 0.404
Hg1 Hg 0.334 0.666 0.250
Hg2 Hg 0.666 0.334 0.750
```

Spin magnetization, μB per cell: 0.00

***

Version two
A relaxed Er5Ga2Hg crystal. Source: Alexandria via LeMat-Bulk, functional PBE-GGA.

The structure in CIF format:
```
data_Er5Ga2Hg
_cell_length_a 9.016
_cell_length_b 9.016
_cell_length_c 9.016
_cell_angle_alpha 130.71
_cell_angle_beta 130.71
_cell_angle_gamma 72.27
_space_group_name_H-M_alt 'P 1'
_space_group_IT_number 1
loop_
_space_group_symop_operation_xyz
'x,y,z'
loop_
_atom_site_label
_atom_site_type_symbol
_atom_site_fract_x
_atom_site_fract_y
_atom_site_fract_z
Er1 Er 0.000 0.000 0.000
Er2 Er 0.025 0.525 0.840
Er3 Er 0.185 0.025 0.500
Er4 Er 0.315 0.815 0.840
Er5 Er 0.475 0.315 0.500
Er6 Er 0.500 0.500 0.000
Er7 Er 0.525 0.685 0.500
Er8 Er 0.685 0.185 0.160
Er9 Er 0.815 0.975 0.500
Er10 Er 0.975 0.475 0.160
Ga1 Ga 0.123 0.377 0.500
Ga2 Ga 0.377 0.877 0.255
Ga3 Ga 0.623 0.123 0.745
Ga4 Ga 0.877 0.623 0.500
Hg1 Hg 0.250 0.250 0.000
Hg2 Hg 0.750 0.750 0.000
```

Spin magnetization, μB per cell: 0.00

***

Which structure wins on stability? version two wins.

***

Version one
A relaxed Er6Ga2Hg crystal. Source: Alexandria via LeMat-Bulk, functional PBE-GGA.

The structure in CIF format:
```
data_Er6Ga2Hg
_cell_length_a 8.524
_cell_length_b 8.524
_cell_length_c 8.524
_cell_angle_alpha 112.00
_cell_angle_beta 111.64
_cell_angle_gamma 104.86
_space_group_name_H-M_alt 'P 1'
_space_group_IT_number 1
loop_
_space_group_symop_operation_xyz
'x,y,z'
loop_
_atom_site_label
_atom_site_type_symbol
_atom_site_fract_x
_atom_site_fract_y
_atom_site_fract_z
Er1 Er 0.027 0.823 0.204
Er2 Er 0.246 0.546 0.301
Er3 Er 0.246 0.945 0.699
Er4 Er 0.276 0.318 0.594
Er5 Er 0.276 0.682 0.957
Er6 Er 0.381 0.177 0.204
Er7 Er 0.619 0.823 0.796
Er8 Er 0.724 0.318 0.043
Er9 Er 0.724 0.682 0.406
Er10 Er 0.754 0.055 0.301
Er11 Er 0.754 0.454 0.699
Er12 Er 0.973 0.177 0.796
Ga1 Ga 0.000 0.147 0.147
Ga2 Ga 0.000 0.853 0.853
Ga3 Ga 0.378 0.378 0.000
Ga4 Ga 0.622 0.622 0.000
Hg1 Hg 0.000 0.500 0.500
Hg2 Hg 0.500 0.000 0.500
```

Spin magnetization, μB per cell: 0.00

***

Version two
A relaxed Er6Ga2Hg crystal. Source: Alexandria via LeMat-Bulk, functional PBE-GGA.

The structure in CIF format:
```
data_Er6Ga2Hg
_cell_length_a 8.609
_cell_length_b 8.609
_cell_length_c 8.609
_cell_angle_alpha 146.65
_cell_angle_beta 131.85
_cell_angle_gamma 59.83
_space_group_name_H-M_alt 'P 1'
_space_group_IT_number 1
loop_
_space_group_symop_operation_xyz
'x,y,z'
loop_
_atom_site_label
_atom_site_type_symbol
_atom_site_fract_x
_atom_site_fract_y
_atom_site_fract_z
Er1 Er 0.080 0.331 0.749
Er2 Er 0.246 0.000 0.246
Er3 Er 0.418 0.669 0.749
Er4 Er 0.582 0.331 0.251
Er5 Er 0.754 0.000 0.754
Er6 Er 0.920 0.669 0.251
Ga1 Ga 0.167 0.167 0.000
Ga2 Ga 0.833 0.833 0.000
Hg1 Hg 0.500 0.500 0.000
```

Spin magnetization, μB per cell: 0.00

***

Which structure wins on stability? version one wins.